Density functional theory data (PBE) for an optimized crystal structure of Ce3Pa2NbN6.

Properties
M_tot (μB/f.u.): 0.00
Calculated volume (Å³ per atom): 14.73
Electronic total energy (eV/cell): -115.11

The structure in extended XYZ format:
```
12
Lattice="2.988 -5.172 0.000 2.988 5.172 0.000 -1.990 0.000 5.720" Properties=species:S:1:pos:R:3 pbc="T T T"
Ce 0.000 0.000 0.000
Ce 2.988 1.708 0.000
Ce 2.988 -1.708 0.000
Pa 1.994 3.448 2.860
Pa 1.994 -3.448 2.860
Nb 1.994 0.000 2.860
N 1.026 1.678 1.595
N 0.058 0.000 4.140
N 1.026 -1.678 1.595
N 2.961 1.678 4.125
N 3.929 0.000 1.579
N 2.961 -1.678 4.125
```